No. 1
Entry from Alexandria: a geometry-optimized Sr2CdFeO5 structure (GGA+U).

Cell and atoms, written as POSCAR:
```
Sr2CdFeO5
1.0
3.759 0.000 0.000
0.000 5.796 0.000
-1.879 -2.898 5.910
Sr Cd Fe O
2 1 1 5
Cartesian
0.000 0.000 2.489
1.879 2.898 3.421
0.000 2.898 0.000
1.879 0.000 0.000
1.879 4.377 1.434
0.000 -1.479 4.476
0.000 1.479 4.476
1.879 1.419 1.434
0.000 0.000 0.000
```

Summary:
electronic total energy = -49.9 eV per cell
calculated density = 5.5 g/cm³
size of the total moment = 3.99 μB/f.u.


No. 2
Entry from Alexandria: a geometry-optimized Cr2NiSnO structure (GGA+U).

Cell and atoms, written as POSCAR:
```
Cr2NiSnO
1.0
4.043 0.000 0.000
0.000 4.954 0.000
0.000 0.000 4.043
Ni Sn O Cr
1 1 1 2
Cartesian
2.021 2.477 2.021
0.000 2.477 0.000
0.000 0.000 0.000
0.000 0.000 2.021
2.021 0.000 0.000
```

Summary:
electronic total energy = -26.2 eV per cell
calculated density = 6.1 g/cm³
size of the total moment = 8.12 μB/f.u.